Entry 1:
An optimized crystal structure of Te2PdPb. Source: the Alexandria database, functional PBE.

Lattice parameters (Å, degrees): 4.1279 4.1279 22.4446 90.00 90.00 120.00
Space group R3m (No. 160, hexagonal axes)
One atom of each set of equivalent atoms:
Te 0.0000 0.0000 0.0000 [3 per cell]
Te 0.0000 0.0000 0.2052 [3 per cell]
Pd 0.0000 0.0000 0.6025 [3 per cell]
Pb 0.0000 0.0000 0.7673 [3 per cell]

Properties
- Uncorrected formation energy: -0.2546 eV/atom
- DOS at the Fermi energy: 2.07 states/eV/f.u.
- V: 331.2 Å³ per cell

***

Entry 2:
An optimized crystal structure of TePd2Pb2. Source: the Alexandria database, functional PBE.

Lattice parameters (Å, degrees): 8.6504 8.6504 3.2055 90.00 90.00 90.00
Space group P4/mbm (No. 127)
One atom of each set of equivalent atoms:
Te 0.0000 0.0000 0.0000 [2 per cell]
Pd 0.1175 0.3825 0.5000 [4 per cell]
Pb 0.1683 0.6683 0.0000 [4 per cell]

Properties
- Uncorrected formation energy: -0.0047 eV/atom
- DOS at the Fermi energy: 3.15 states/eV/f.u.
- ΔE to the lowest computed polymorph: 224 meV per atom
- V: 239.9 Å³ per cell

***

Entry 3:
An optimized crystal structure of Te2PdPb. Source: the Alexandria database, functional PBE.

Lattice parameters (Å, degrees): 6.5256 6.5256 13.2359 90.00 90.00 90.00
Space group I-42d (No. 122)
One atom of each set of equivalent atoms:
Te 0.1923 0.2500 0.1250 [8 per cell]
Pd 0.0000 0.0000 0.0000 [4 per cell]
Pb 0.0000 0.0000 0.5000 [4 per cell]

Properties
- Uncorrected formation energy: -0.1518 eV/atom
- DOS at the Fermi energy: 3.87 states/eV/f.u.
- V: 563.6 Å³ per cell

***

Entry 4:
An optimized crystal structure of TePd2Pb. Source: the Alexandria database, functional PBE.

Lattice parameters (Å, degrees): 4.8876 4.8876 16.7245 90.00 90.00 90.00
Space group I-42d (No. 122)
One atom of each set of equivalent atoms:
Te 0.0000 0.0000 0.0000 [4 per cell]
Pd 0.1970 0.2500 0.1250 [8 per cell]
Pb 0.0000 0.0000 0.5000 [4 per cell]

Properties
- Uncorrected formation energy: -0.1701 eV/atom
- DOS at the Fermi energy: 0.25 states/eV/f.u.
- ΔE to the lowest computed polymorph: 162 meV per atom
- V: 399.5 Å³ per cell

***

Entry 5:
An optimized crystal structure of TePd8Pb2. Source: the Alexandria database, functional PBE.

Lattice parameters (Å, degrees): 15.0463 4.3671 6.1901 90.00 105.09 90.00
Space group C2/m (No. 12)
One atom of each set of equivalent atoms:
Te 0.0000 0.0000 0.0000 [2 per cell]
Pd 0.0272 0.5000 0.7494 [4 per cell]
Pd 0.0874 0.0000 0.4438 [4 per cell]
Pd 0.1630 0.5000 0.2118 [4 per cell]
Pd 0.1650 0.0000 0.9191 [4 per cell]
Pb 0.2025 0.5000 0.6687 [4 per cell]

Properties
- Uncorrected formation energy: -0.2258 eV/atom
- DOS at the Fermi energy: 5.74 states/eV/f.u.
- V: 392.7 Å³ per cell

***

Entry 6:
An optimized crystal structure of TePdPb. Source: the Alexandria database, functional PBE.

Lattice parameters (Å, degrees): 5.7109 4.4131 6.8634 90.00 107.55 90.00
Space group P2_1/m (No. 11)
One atom of each set of equivalent atoms:
Te 0.2491 0.2500 0.2085 [2 per cell]
Pd 0.3344 0.7500 0.4487 [2 per cell]
Pb 0.2131 0.2500 0.7089 [2 per cell]

Properties
- Uncorrected formation energy: -0.3127 eV/atom
- DOS at the Fermi energy: 1.44 states/eV/f.u.
- ΔE to the lowest computed polymorph: 29 meV per atom
- V: 164.9 Å³ per cell